1.
# NaGaCoSb (PBE, optimized geometry)
data_NaGaCoSb
_chemical_formula_sum 'Na4 Ga4 Co4 Sb4'
_cell_length_a 6.722
_cell_length_b 6.722
_cell_length_c 6.722
_cell_angle_alpha 90.00
_cell_angle_beta 90.00
_cell_angle_gamma 90.00
_symmetry_space_group_name_H-M 'F -4 3 m'
_symmetry_Int_Tables_number 216
_symmetry_space_group_name_Hall 'F -4 2 3'
loop_
_atom_site_label
_atom_site_type_symbol
_atom_site_fract_x
_atom_site_fract_y
_atom_site_fract_z
Na1 Na 0.000 0.000 0.000
Ga1 Ga 0.250 0.250 0.750
Co1 Co 0.250 0.250 0.250
Sb1 Sb 0.000 0.000 0.500
# Energy above the lowest structure with this stoichiometry ... 0.194 eV/atom
# Raw total energy ... -3.56 eV/atom
# Crystal system ... cubic



2.
# NaGaCoSb (PBE, optimized geometry)
data_NaGaCoSb
_chemical_formula_sum 'Na4 Ga4 Co4 Sb4'
_cell_length_a 6.493
_cell_length_b 6.493
_cell_length_c 6.493
_cell_angle_alpha 90.00
_cell_angle_beta 90.00
_cell_angle_gamma 90.00
_symmetry_space_group_name_H-M 'F -4 3 m'
_symmetry_Int_Tables_number 216
_symmetry_space_group_name_Hall 'F -4 2 3'
loop_
_atom_site_label
_atom_site_type_symbol
_atom_site_fract_x
_atom_site_fract_y
_atom_site_fract_z
Na1 Na 0.000 0.000 0.000
Ga1 Ga 0.250 0.250 0.750
Co1 Co 0.000 0.000 0.500
Sb1 Sb 0.250 0.250 0.250
# Energy above the lowest structure with this stoichiometry ... 0.000 eV/atom
# Raw total energy ... -3.75 eV/atom
# Crystal system ... cubic



3.
# NaGaCoSb (PBE, optimized geometry)
data_NaGaCoSb
_chemical_formula_sum 'Na4 Ga4 Co4 Sb4'
_cell_length_a 6.788
_cell_length_b 6.788
_cell_length_c 6.788
_cell_angle_alpha 90.00
_cell_angle_beta 90.00
_cell_angle_gamma 90.00
_symmetry_space_group_name_H-M 'F -4 3 m'
_symmetry_Int_Tables_number 216
_symmetry_space_group_name_Hall 'F -4 2 3'
loop_
_atom_site_label
_atom_site_type_symbol
_atom_site_fract_x
_atom_site_fract_y
_atom_site_fract_z
Na1 Na 0.000 0.000 0.000
Ga1 Ga 0.000 0.000 0.500
Co1 Co 0.250 0.250 0.750
Sb1 Sb 0.250 0.250 0.250
# Energy above the lowest structure with this stoichiometry ... 0.286 eV/atom
# Raw total energy ... -3.47 eV/atom
# Crystal system ... cubic



4.
# NaTaGaCo (PBE, optimized geometry)
data_NaTaGaCo
_chemical_formula_sum 'Na4 Ta4 Ga4 Co4'
_cell_length_a 6.161
_cell_length_b 6.161
_cell_length_c 6.161
_cell_angle_alpha 90.00
_cell_angle_beta 90.00
_cell_angle_gamma 90.00
_symmetry_space_group_name_H-M 'F -4 3 m'
_symmetry_Int_Tables_number 216
_symmetry_space_group_name_Hall 'F -4 2 3'
loop_
_atom_site_label
_atom_site_type_symbol
_atom_site_fract_x
_atom_site_fract_y
_atom_site_fract_z
Na1 Na 0.000 0.000 0.000
Ta1 Ta 0.250 0.250 0.250
Ga1 Ga 0.250 0.250 0.750
Co1 Co 0.000 0.000 0.500
# Energy above the lowest structure with this stoichiometry ... 0.000 eV/atom
# Raw total energy ... -5.55 eV/atom
# Crystal system ... cubic



5.
# NaTaGaCo (PBE, optimized geometry)
data_NaTaGaCo
_chemical_formula_sum 'Na4 Ta4 Ga4 Co4'
_cell_length_a 6.299
_cell_length_b 6.299
_cell_length_c 6.299
_cell_angle_alpha 90.00
_cell_angle_beta 90.00
_cell_angle_gamma 90.00
_symmetry_space_group_name_H-M 'F -4 3 m'
_symmetry_Int_Tables_number 216
_symmetry_space_group_name_Hall 'F -4 2 3'
loop_
_atom_site_label
_atom_site_type_symbol
_atom_site_fract_x
_atom_site_fract_y
_atom_site_fract_z
Na1 Na 0.000 0.000 0.000
Ta1 Ta 0.000 0.000 0.500
Ga1 Ga 0.250 0.250 0.750
Co1 Co 0.250 0.250 0.250
# Energy above the lowest structure with this stoichiometry ... 0.104 eV/atom
# Raw total energy ... -5.45 eV/atom
# Crystal system ... cubic



6.
# NbGaCo2 (PBE, optimized geometry)
data_NbGaCo2
_chemical_formula_sum 'Nb4 Ga4 Co8'
_cell_length_a 6.432
_cell_length_b 6.580
_cell_length_c 5.087
_cell_angle_alpha 90.00
_cell_angle_beta 90.00
_cell_angle_gamma 90.00
_symmetry_space_group_name_H-M 'P n m a'
_symmetry_Int_Tables_number 62
loop_
_symmetry_equiv_pos_as_xyz
'x,y,z'
'-x,-y,-z'
'-x+1/2,-y,z+1/2'
'x+1/2,y,-z+1/2'
'x+1/2,-y+1/2,-z+1/2'
'-x+1/2,y+1/2,z+1/2'
'-x,y+1/2,-z'
'x,-y+1/2,z'
loop_
_atom_site_label
_atom_site_type_symbol
_atom_site_fract_x
_atom_site_fract_y
_atom_site_fract_z
Nb1 Nb 0.038 0.250 0.154
Ga1 Ga 0.100 0.750 0.345
Co1 Co 0.196 0.044 0.579
# Raw total energy ... -6.95 eV/atom
# Crystal system ... orthorhombic



7.
# NbGaCo2 (PBE, optimized geometry)
data_NbGaCo2
_chemical_formula_sum 'Nb1 Ga1 Co2'
_cell_length_a 4.107
_cell_length_b 4.107
_cell_length_c 3.157
_cell_angle_alpha 90.00
_cell_angle_beta 90.00
_cell_angle_gamma 90.00
_symmetry_space_group_name_H-M 'P 4/m m m'
_symmetry_Int_Tables_number 123
_symmetry_space_group_name_Hall '-P 4 2'
loop_
_atom_site_label
_atom_site_type_symbol
_atom_site_fract_x
_atom_site_fract_y
_atom_site_fract_z
Nb1 Nb 0.000 0.000 0.000
Ga1 Ga 0.500 0.500 0.000
Co1 Co 0.000 0.500 0.500
# Raw total energy ... -7.00 eV/atom
# Crystal system ... tetragonal



8.
# NbGa2Co (PBE, optimized geometry)
data_NbGa2Co
_chemical_formula_sum 'Nb4 Ga8 Co4'
_cell_length_a 6.184
_cell_length_b 6.184
_cell_length_c 6.184
_cell_angle_alpha 90.00
_cell_angle_beta 90.00
_cell_angle_gamma 90.00
_symmetry_space_group_name_H-M 'F -4 3 m'
_symmetry_Int_Tables_number 216
_symmetry_space_group_name_Hall 'F -4 2 3'
loop_
_atom_site_label
_atom_site_type_symbol
_atom_site_fract_x
_atom_site_fract_y
_atom_site_fract_z
Nb1 Nb 0.000 0.000 0.000
Ga1 Ga 0.000 0.000 0.500
Ga2 Ga 0.250 0.250 0.750
Co1 Co 0.250 0.250 0.250
# Raw total energy ... -5.81 eV/atom
# Crystal system ... cubic